Material: FeBiAu
Method: DFT, GGA-PBE
State: relaxed

```
data_FeBiAu
_cell_length_a 6.5437
_cell_length_b 6.5437
_cell_length_c 6.5437
_cell_angle_alpha 90.00
_cell_angle_beta 90.00
_cell_angle_gamma 90.00
_space_group_name_H-M_alt 'F -4 3 m'
_space_group_IT_number 216
_space_group_name_Hall 'F -4 2 3'
loop_
_atom_site_label
_atom_site_type_symbol
_atom_site_fract_x
_atom_site_fract_y
_atom_site_fract_z
Fe1 Fe 0.0000 0.0000 0.0000
Bi1 Bi 0.0000 0.0000 0.5000
Au1 Au 0.2500 0.2500 0.7500
```

Results
The uncorrected energy is -4.753 eV/atom. Its crystal system is cubic.